The following is a PBE calculation of crystalline Ba2MnAgBr at its relaxed geometry, from the Alexandria database.

Cell: 6.161 6.161 4.948 Å, 90.00 90.00 90.00°
Fractional coordinates of all 5 atoms:
Ba1 0.000 0.500 0.000
Ba2 0.500 0.000 0.000
Mn1 0.000 0.000 0.000
Ag1 0.500 0.500 0.500
Br1 0.000 0.000 0.500

Output
The crystal system is tetragonal. As for the magnetization: 0.00 μB/atom.

---

The following is a PBE calculation of crystalline BaMn2AgBr8 at its relaxed geometry, from the Alexandria database.

Cell: 6.958 6.958 9.400 Å, 90.00 90.00 120.00°
Fractional coordinates of all 12 atoms:
Ba1 0.000 0.000 0.000
Mn1 0.333 0.667 0.750
Mn2 0.667 0.333 0.250
Ag1 0.000 0.000 0.500
Br1 0.004 0.310 0.695
Br2 0.306 0.996 0.695
Br3 0.310 0.306 0.305
Br4 0.333 0.667 0.009
Br5 0.667 0.333 0.991
Br6 0.690 0.694 0.695
Br7 0.694 0.004 0.305
Br8 0.996 0.690 0.305

Output
The crystal system is trigonal. As for the magnetization: 0.75 μB/atom.

---

The following is a PBE calculation of crystalline BaMnAg2Br8 at its relaxed geometry, from the Alexandria database.

Cell: 6.609 7.093 8.879 Å, 92.50 93.10 110.39°
Fractional coordinates of all 12 atoms:
Ba1 0.000 0.000 0.000
Mn1 0.000 0.000 0.500
Ag1 0.041 0.514 0.228
Ag2 0.959 0.486 0.772
Br1 0.207 0.774 0.469
Br2 0.236 0.234 0.325
Br3 0.262 0.189 0.709
Br4 0.278 0.698 0.982
Br5 0.722 0.302 0.018
Br6 0.738 0.811 0.291
Br7 0.764 0.766 0.675
Br8 0.793 0.226 0.531

Output
The crystal system is triclinic. As for the magnetization: 0.25 μB/atom.

---

Per-record uncorrected formation energy, eV/f.u.: 1.13; -11.40; -10.16